# 1
## Pu3Te2As (PBE-GGA)

Data for a relaxed structure of Pu3Te2As.

Values from the calculation:
raw formation energy = -1022 meV per atom
space group = C2/c
distance to the lowest polymorph of the same formula = 0.052 eV per atom

Unit cell a=7.5000 b=7.5299 c=7.5299 alpha=119.91 beta=99.66 gamma=99.66
Sites, in units of the cell vectors:
Te1 0.2500 0.9189 0.0811
Te2 0.2500 0.2422 0.7578
Te3 0.7500 0.7578 0.2422
Te4 0.7500 0.0811 0.9189
Pu1 0.5000 0.0000 0.5000
Pu2 0.9948 0.8019 0.6486
Pu3 0.5052 0.3514 0.1981
Pu4 0.4948 0.6486 0.8019
Pu5 0.0000 0.5000 0.0000
Pu6 0.0052 0.1981 0.3514
As1 0.2500 0.5892 0.4108
As2 0.7500 0.4108 0.5892

# 2
## Li2LaOsO6 (PBE-GGA)

Data for a relaxed structure of Li2LaOsO6.

Values from the calculation:
raw formation energy = -1891 meV per atom
space group = P2_1/c

Unit cell a=5.4397 b=5.5730 c=7.9652 alpha=90.00 beta=90.73 gamma=90.00
Sites, in units of the cell vectors:
Li1 0.4681 0.5178 0.7694
Li2 0.5319 0.4822 0.2306
Li3 0.0319 0.0178 0.7306
Li4 0.9681 0.9822 0.2694
O1 0.3118 0.6316 0.0527
O2 0.3926 0.7052 0.4085
O3 0.1074 0.2052 0.0915
O4 0.1204 0.3924 0.7829
O5 0.6204 0.1076 0.2829
O6 0.6882 0.3684 0.9473
O7 0.8118 0.8684 0.5527
O8 0.1882 0.1316 0.4473
O9 0.8796 0.6076 0.2171
O10 0.8926 0.7948 0.9085
O11 0.3796 0.8924 0.7171
O12 0.6073 0.2948 0.5915
La1 0.5000 0.0000 0.0000
La2 0.0000 0.5000 0.5000
Os1 0.0000 0.5000 0.0000
Os2 0.5000 0.0000 0.5000

# 3
## Ho3CdPd4 (PBE-GGA)

Data for a relaxed structure of Ho3CdPd4.

Values from the calculation:
space group = P4/mmm
distance to the lowest polymorph of the same formula = 0.000 eV per atom

Unit cell a=4.8731 b=6.8327 c=9.7460 alpha=90.00 beta=90.00 gamma=90.00
Sites, in units of the cell vectors:
Ho1 0.0000 0.0000 0.0000
Ho2 0.5004 0.0000 0.7500
Ho3 0.4996 0.0000 0.2500
Ho4 0.0000 0.0000 0.5000
Ho5 0.4991 0.5000 0.2500
Ho6 0.5009 0.5000 0.7500
Pd1 0.5000 0.2471 0.5000
Pd2 0.0009 0.7530 0.7500
Pd3 0.0009 0.2470 0.7500
Pd4 0.5000 0.7529 0.5000
Pd5 0.9991 0.7530 0.2500
Pd6 0.5000 0.2471 0.0000
Pd7 0.5000 0.7529 0.0000
Pd8 0.9991 0.2470 0.2500
Cd1 0.0000 0.5000 0.5000
Cd2 0.0000 0.5000 0.0000

# 4
## PmHoIr4 (PBE-GGA)

Data for a relaxed structure of PmHoIr4.

Values from the calculation:
space group = F-43m

Unit cell a=5.3872 b=5.3872 c=5.3872 alpha=60.00 beta=60.00 gamma=60.00
Sites, in units of the cell vectors:
Ho1 0.0000 0.0000 0.0000
Ir1 0.6252 0.6252 0.1245
Ir2 0.1245 0.6252 0.6252
Ir3 0.6252 0.6252 0.6252
Ir4 0.6252 0.1245 0.6252
Pm1 0.2500 0.2500 0.2500

# 5
## Mg5In2GaPd2 (PBE-GGA)

Data for a relaxed structure of Mg5In2GaPd2.

Values from the calculation:
space group = P4/mbm

Unit cell a=3.4530 b=10.8975 c=10.8975 alpha=90.00 beta=90.00 gamma=90.00
Sites, in units of the cell vectors:
Mg1 0.5000 0.0000 0.5000
Mg2 0.5000 0.0573 0.8000
Mg3 0.5000 0.5573 0.7000
Mg4 0.5000 0.4427 0.3000
Mg5 0.5000 0.9427 0.2000
Mg6 0.5000 0.7000 0.4427
Mg7 0.5000 0.2000 0.0573
Mg8 0.5000 0.8000 0.9427
Mg9 0.5000 0.5000 0.0000
Mg10 0.5000 0.3000 0.5573
In1 0.0000 0.1763 0.3237
In2 0.0000 0.6763 0.1763
In3 0.0000 0.3237 0.8237
In4 0.0000 0.8237 0.6763
Pd1 0.0000 0.3683 0.1317
Pd2 0.0000 0.8683 0.3683
Pd3 0.0000 0.1317 0.6317
Pd4 0.0000 0.6317 0.8683
Ga1 0.0000 0.5000 0.5000
Ga2 0.0000 0.0000 0.0000

# 6
## BeSiW (PBE-GGA)

Data for a relaxed structure of BeSiW.

Values from the calculation:
raw formation energy = 513 meV per atom
space group = F-43m
distance to the lowest polymorph of the same formula = 0.471 eV per atom

Unit cell a=3.8173 b=3.8173 c=3.8173 alpha=60.00 beta=60.00 gamma=60.00
Sites, in units of the cell vectors:
Be1 0.7500 0.7500 0.7500
Si1 0.0000 0.0000 0.0000
W1 0.5000 0.5000 0.5000

# 7
## Er5IrSe4 (PBE-GGA)

Data for a relaxed structure of Er5IrSe4.

Values from the calculation:
raw formation energy = -1524 meV per atom
space group = I4/mmm

Unit cell a=4.0173 b=4.0173 c=14.8730 alpha=97.76 beta=97.76 gamma=90.00
Sites, in units of the cell vectors:
Er1 0.7070 0.7070 0.4140
Er2 0.5000 0.5000 0.0000
Er3 0.0915 0.0915 0.1831
Er4 0.2930 0.2930 0.5860
Er5 0.9085 0.9085 0.8169
Se1 0.3937 0.3937 0.7874
Se2 0.1943 0.1943 0.3886
Se3 0.8057 0.8057 0.6115
Se4 0.6063 0.6063 0.2126
Ir1 0.0000 0.0000 0.0000

# 8
## MnPRu2 (PBE-GGA)

Data for a relaxed structure of MnPRu2.

Values from the calculation:
space group = Amm2
distance to the lowest polymorph of the same formula = 0.074 eV per atom

Unit cell a=3.7783 b=2.7683 c=5.1749 alpha=74.47 beta=90.00 gamma=90.00
Sites, in units of the cell vectors:
Mn1 0.0000 0.9225 0.5302
Ru1 0.0000 0.1898 0.9959
Ru2 0.5000 0.5590 0.2578
P1 0.5000 0.3287 0.7162

# 9
## Y2MgB2 (PBE-GGA)

Data for a relaxed structure of Y2MgB2.

Values from the calculation:
space group = P4/mbm
distance to the lowest polymorph of the same formula = 0.735 eV per atom

Unit cell a=7.7326 b=7.7326 c=3.1236 alpha=90.00 beta=90.00 gamma=90.00
Sites, in units of the cell vectors:
B1 0.1706 0.6706 0.5000
B2 0.6706 0.8294 0.5000
B3 0.3294 0.1706 0.5000
B4 0.8294 0.3294 0.5000
Mg1 0.5000 0.5000 0.0000
Mg2 0.0000 0.0000 0.0000
Y1 0.8606 0.6394 0.0000
Y2 0.1394 0.3606 0.0000
Y3 0.3606 0.8606 0.0000
Y4 0.6394 0.1394 0.0000

# 10
## Pm5Pr4Ho4 (PBE-GGA)

Data for a relaxed structure of Pm5Pr4Ho4.

Values from the calculation:
space group = C2/m

Unit cell a=5.1253 b=9.6167 c=9.6242 alpha=85.88 beta=74.56 gamma=74.55
Sites, in units of the cell vectors:
Pr1 0.3821 0.6958 0.5400
Pr2 0.6179 0.3042 0.4600
Pr3 0.9222 0.4600 0.6957
Pr4 0.0778 0.5400 0.3043
Ho1 0.1539 0.0771 0.6152
Ho2 0.8461 0.9229 0.3848
Ho3 0.7690 0.3849 0.0771
Ho4 0.2310 0.6151 0.9229
Pm1 0.5406 0.7689 0.1500
Pm2 0.6906 0.8499 0.7689
Pm3 0.0000 0.0000 0.0000
Pm4 0.4594 0.2311 0.8500
Pm5 0.3094 0.1501 0.2311

# 11
## Th6Bi3Pb (PBE-GGA)

Data for a relaxed structure of Th6Bi3Pb.

Values from the calculation:
space group = Cmc2_1

Unit cell a=8.1752 b=9.5131 c=9.5131 alpha=114.01 beta=90.00 gamma=90.00
Sites, in units of the cell vectors:
Bi1 0.3133 0.4489 0.5511
Bi2 0.8133 0.5511 0.4489
Bi3 0.4651 0.9434 0.7082
Bi4 0.9651 0.7082 0.9434
Bi5 0.9651 0.0566 0.2918
Bi6 0.4651 0.2918 0.0566
Th1 0.7705 0.0279 0.9721
Th2 0.6528 0.2769 0.7231
Th3 0.1085 0.3365 0.2225
Th4 0.7838 0.4944 0.0816
Th5 0.2838 0.0816 0.4944
Th6 0.7838 0.9184 0.5056
Th7 0.1528 0.7231 0.2769
Th8 0.2838 0.5056 0.9184
Th9 0.1085 0.7775 0.6635
Th10 0.2705 0.9721 0.0279
Th11 0.6085 0.2225 0.3365
Th12 0.6085 0.6635 0.7775
Pb1 0.0339 0.1833 0.8167
Pb2 0.5339 0.8167 0.1833

# 12
## V2ZnHgC (PBE-GGA)

Data for a relaxed structure of V2ZnHgC.

Values from the calculation:
space group = P4/mmm

Unit cell a=5.2832 b=3.8976 c=5.2832 alpha=90.00 beta=90.00 gamma=90.00
Sites, in units of the cell vectors:
V1 0.0000 0.0000 0.5000
V2 0.5000 0.0000 0.0000
Hg1 0.0000 0.0000 0.0000
C1 0.0000 0.5000 0.0000
Zn1 0.5000 0.5000 0.5000

Number 1: DOS(E_F) 72.29 states/eV per cell, volume 347.3 Å³ per cell, uncorrected energy -120.1 eV per cell. Number 2: DOS(E_F) 7.93 states/eV per cell, volume 241.4 Å³ per cell, uncorrected energy -137.3 eV per cell. Number 3: DOS(E_F) 6.52 states/eV per cell, volume 324.5 Å³ per cell, uncorrected energy -83.9 eV per cell. Number 4: DOS(E_F) 4.90 states/eV per cell, volume 110.6 Å³ per cell, uncorrected energy -49.4 eV per cell. Number 5: DOS(E_F) 6.73 states/eV per cell, volume 410.1 Å³ per cell, uncorrected energy -60.0 eV per cell. Number 6: DOS(E_F) 2.25 states/eV per cell, volume 39.3 Å³ per cell, uncorrected energy -20.6 eV per cell. Number 7: DOS(E_F) 4.74 states/eV per cell, volume 235.6 Å³ per cell, uncorrected energy -60.9 eV per cell. Number 8: DOS(E_F) 3.32 states/eV per cell, volume 52.1 Å³ per cell, uncorrected energy -33.7 eV per cell. Number 9: DOS(E_F) 8.61 states/eV per cell, volume 186.8 Å³ per cell, uncorrected energy -50.8 eV per cell. Number 10: DOS(E_F) 18.58 states/eV per cell, volume 440.7 Å³ per cell, uncorrected energy -61.0 eV per cell. Number 11: DOS(E_F) 22.05 states/eV per cell, volume 675.8 Å³ per cell, uncorrected energy -124.1 eV per cell. Number 12: DOS(E_F) 4.27 states/eV per cell, volume 108.8 Å³ per cell, uncorrected energy -18.9 eV per cell.